As4Pb6Cl after structural relaxation. Source: Alexandria, functional PBE.

abc: 4.366 7.539 21.339
angles: 90.00 90.00 106.83
Positions (direct):
As 0.865 0.731 0.547
As 0.411 0.821 0.130
As 0.135 0.269 0.453
As 0.589 0.179 0.870
As 0.865 0.731 0.953
As 0.135 0.269 0.047
As 0.589 0.179 0.630
As 0.411 0.821 0.370
Pb 0.500 0.000 0.000
Pb 0.500 0.000 0.500
Pb 0.033 0.066 0.335
Pb 0.967 0.934 0.665
Pb 0.967 0.934 0.835
Pb 0.033 0.066 0.165
Pb 0.773 0.547 0.426
Pb 0.227 0.453 0.574
Pb 0.227 0.453 0.926
Pb 0.773 0.547 0.074
Pb 0.318 0.635 0.250
Pb 0.682 0.365 0.750
Cl 0.688 0.375 0.250
Cl 0.312 0.625 0.750

Properties
formation energy from raw total energies	-0.13	eV/atom
DFT total energy	-4.011	eV per atom
ρ	7.80	g/cm³